Record 1
Compound: Be2Cd2Se
Source: the Alexandria database
Functional: PBE-GGA
Structure: relaxed

a = 5.7586 Å, b = 5.7586 Å, c = 5.8569 Å
α = 90.00°, β = 90.00°, γ = 90.00°
With the nearest neighbours (Å) after each atom.
Element x y z (fractional)
Be: 0.1266 0.3734 0.0000  1 Be 2.06, 2 Se 2.27
Be: 0.3734 0.8734 0.0000  1 Be 2.06, 2 Se 2.27
Be: 0.6266 0.1266 0.0000  1 Be 2.06, 2 Se 2.27
Be: 0.8734 0.6266 0.0000  1 Be 2.06, 2 Se 2.27
Cd: 0.1756 0.6756 0.5000  5 Cd 2.86-3.00
Cd: 0.3244 0.1756 0.5000  5 Cd 2.86-3.00
Cd: 0.6756 0.8244 0.5000  5 Cd 2.86-3.00
Cd: 0.8244 0.3244 0.5000  5 Cd 2.86-3.00
Se: 0.0000 0.0000 0.0000  4 Be 2.27
Se: 0.5000 0.5000 0.0000  4 Be 2.27

Calculated values
Relative energy among the computed polymorphs = 0.000 eV/atom
Uncorrected formation energy = 28 kJ per mole of atoms
Space-group type = P4/mbm, No. 127

Record 2
Compound: Pa4Au2N
Source: the Alexandria database
Functional: PBE-GGA
Structure: relaxed

a = 4.6946 Å, b = 4.6946 Å, c = 14.6678 Å
α = 90.00°, β = 90.00°, γ = 90.00°
With the nearest neighbours (Å) after each atom.
Element x y z (fractional)
Pa: 0.0000 0.0000 0.1628  1 N 2.39
Pa: 0.0000 0.0000 0.8372  1 N 2.39
Pa: 0.0000 0.5000 0.0000  2 N 2.35
Pa: 0.0000 0.5000 0.5000  2 N 2.35
Pa: 0.5000 0.0000 0.0000  2 N 2.35
Pa: 0.5000 0.0000 0.5000  2 N 2.35
Pa: 0.5000 0.5000 0.3372  1 N 2.39
Pa: 0.5000 0.5000 0.6628  1 N 2.39
Au: 0.0000 0.0000 0.3545  1 Pa 2.81
Au: 0.0000 0.0000 0.6455  1 Pa 2.81
Au: 0.5000 0.5000 0.1455  1 Pa 2.81
Au: 0.5000 0.5000 0.8545  1 Pa 2.81
N: 0.0000 0.0000 0.0000  6 Pa 2.35-2.39
N: 0.5000 0.5000 0.5000  6 Pa 2.35-2.39

Calculated values
Uncorrected formation energy = -40 kJ per mole of atoms
Space-group type = I4/mmm, No. 139

Record 3
Compound: TbSm12Sc6
Source: the Alexandria database
Functional: PBE-GGA
Structure: relaxed

a = 9.1680 Å, b = 9.1680 Å, c = 9.1680 Å
α = 109.47°, β = 109.47°, γ = 109.47°
With the nearest neighbours (Å) after each atom.
Element x y z (fractional)
Tb: 0.0000 0.0000 0.0000  12 Sm 3.53
Sm: 0.0698 0.2684 0.8015  1 Sc 3.00
Sm: 0.1985 0.4669 0.2684  1 Sc 3.00
Sm: 0.1985 0.9302 0.7316  1 Sc 3.00
Sm: 0.2684 0.1985 0.4669  1 Sc 3.00
Sm: 0.2684 0.8015 0.0698  1 Sc 3.00
Sm: 0.4669 0.2684 0.1985  1 Sc 3.00
Sm: 0.5331 0.7316 0.8015  1 Sc 3.00
Sm: 0.7316 0.1985 0.9302  1 Sc 3.00
Sm: 0.7316 0.8015 0.5331  1 Sc 3.00
Sm: 0.8015 0.0698 0.2684  1 Sc 3.00
Sm: 0.8015 0.5331 0.7316  1 Sc 3.00
Sm: 0.9302 0.7316 0.1985  1 Sc 3.00
Sc: 0.1377 0.5000 0.6377  1 Sc 2.92, 2 Sm 3.00
Sc: 0.3623 0.8623 0.5000  1 Sc 2.92, 2 Sm 3.00
Sc: 0.5000 0.3623 0.8623  1 Sc 2.92, 2 Sm 3.00
Sc: 0.5000 0.6377 0.1377  1 Sc 2.92, 2 Sm 3.00
Sc: 0.6377 0.1377 0.5000  1 Sc 2.92, 2 Sm 3.00
Sc: 0.8623 0.5000 0.3623  1 Sc 2.92, 2 Sm 3.00

Calculated values
Relative energy among the computed polymorphs = 0.000 eV/atom
Formation energy = 0.237 eV/atom
Space-group type = Im-3, No. 204

Record 4
Compound: SmMnPtAu
Source: the Alexandria database
Functional: PBE-GGA
Structure: relaxed

a = 6.8596 Å, b = 6.8596 Å, c = 6.8596 Å
α = 90.00°, β = 90.00°, γ = 90.00°
With the nearest neighbours (Å) after each atom.
Element x y z (fractional)
Sm: 0.0000 0.0000 0.0000  4 Pt 2.97, 4 Au 2.97
Sm: 0.0000 0.5000 0.5000  4 Pt 2.97, 4 Au 2.97
Sm: 0.5000 0.0000 0.5000  4 Pt 2.97, 4 Au 2.97
Sm: 0.5000 0.5000 0.0000  4 Pt 2.97, 4 Au 2.97
Mn: 0.0000 0.0000 0.5000  4 Au 2.97, 4 Pt 2.97
Mn: 0.0000 0.5000 0.0000  4 Au 2.97, 4 Pt 2.97
Mn: 0.5000 0.0000 0.0000  4 Au 2.97, 4 Pt 2.97
Mn: 0.5000 0.5000 0.5000  4 Au 2.97, 4 Pt 2.97
Pt: 0.2500 0.2500 0.2500  4 Mn 2.97, 4 Sm 2.97
Pt: 0.2500 0.7500 0.7500  4 Mn 2.97, 4 Sm 2.97
Pt: 0.7500 0.2500 0.7500  4 Mn 2.97, 4 Sm 2.97
Pt: 0.7500 0.7500 0.2500  4 Mn 2.97, 4 Sm 2.97
Au: 0.2500 0.2500 0.7500  4 Mn 2.97, 4 Sm 2.97
Au: 0.2500 0.7500 0.2500  4 Mn 2.97, 4 Sm 2.97
Au: 0.7500 0.2500 0.2500  4 Mn 2.97, 4 Sm 2.97
Au: 0.7500 0.7500 0.7500  4 Mn 2.97, 4 Sm 2.97

Calculated values
Formation energy = -0.513 eV/atom
Space-group type = F-43m, No. 216

Record 5
Compound: NpMnSn2Se5
Source: the Alexandria database
Functional: PBE-GGA
Structure: relaxed

a = 9.4892 Å, b = 9.4892 Å, c = 13.7014 Å
α = 90.00°, β = 90.00°, γ = 154.75°
With the nearest neighbours (Å) after each atom.
Element x y z (fractional)
Np: 0.1972 0.8028 0.5000  6 Se 2.82-2.91
Np: 0.8028 0.1972 0.0000  6 Se 2.82-2.91
Mn: 0.4275 0.5725 0.8833  4 Se 2.45-2.54
Mn: 0.5725 0.4275 0.3833  4 Se 2.45-2.54
Sn: 0.0747 0.9253 0.8339  3 Se 2.80-2.94
Sn: 0.1560 0.8440 0.1488  3 Se 2.77-2.82
Sn: 0.8440 0.1560 0.6488  3 Se 2.77-2.82
Sn: 0.9253 0.0747 0.3339  3 Se 2.80-2.94
Se: 0.0407 0.9593 0.4813  2 Mn 2.54
Se: 0.2967 0.7033 0.8561  1 Mn 2.45
Se: 0.3053 0.6947 0.1423  1 Sn 2.77, 2 Np 2.85
Se: 0.3494 0.6506 0.5093  1 Np 2.82, 2 Sn 2.82
Se: 0.4968 0.5032 0.2368  1 Mn 2.45
Se: 0.5032 0.4968 0.7368  1 Mn 2.45
Se: 0.6506 0.3494 0.0093  1 Np 2.82, 2 Sn 2.82
Se: 0.6947 0.3053 0.6423  1 Sn 2.77, 2 Np 2.85
Se: 0.7033 0.2967 0.3561  1 Mn 2.45
Se: 0.9593 0.0407 0.9813  2 Mn 2.54

Calculated values
Uncorrected formation energy = -60 kJ per mole of atoms
Space-group type = Cmc2_1, No. 36

Record 6
Compound: TmThCo
Source: the Alexandria database
Functional: PBE-GGA
Structure: relaxed

a = 3.8316 Å, b = 3.8316 Å, c = 6.1273 Å
α = 90.00°, β = 90.00°, γ = 120.00°
With the nearest neighbours (Å) after each atom.
Element x y z (fractional)
Tm: 0.0000 0.0000 0.0000  3 Co 2.72
Th: 0.6667 0.3333 0.5069  3 Co 2.64
Co: 0.3333 0.6667 0.7414  3 Th 2.64, 3 Tm 2.72

Calculated values
Relative energy among the computed polymorphs = 0.124 eV/atom
Formation energy = -0.131 eV/atom
Space-group type = P3m1, No. 156

Record 7
Compound: Pa5Ti
Source: the Alexandria database
Functional: PBE-GGA
Structure: relaxed

a = 12.2100 Å, b = 3.0909 Å, c = 8.9892 Å
α = 90.00°, β = 123.44°, γ = 90.00°
With the nearest neighbours (Å) after each atom.
Element x y z (fractional)
Pa: 0.0000 0.0000 0.0000  6 Pa 3.03-3.27, 2 Ti 3.07
Pa: 0.0063 0.0000 0.6530  1 Ti 3.09, 10 Pa 3.09-3.38
Pa: 0.2469 0.5000 0.9880  7 Pa 3.03-3.22, 1 Ti 3.14
Pa: 0.2599 0.0000 0.6519  7 Pa 3.09-3.38, 2 Ti 3.18
Pa: 0.4704 0.0000 0.3222  6 Pa 3.09-3.16, 3 Ti 3.10-3.38
Pa: 0.5000 0.5000 0.0000  6 Pa 3.03-3.27, 2 Ti 3.07
Pa: 0.5063 0.5000 0.6530  1 Ti 3.09, 10 Pa 3.09-3.38
Pa: 0.7469 0.0000 0.9880  7 Pa 3.03-3.22, 1 Ti 3.14
Pa: 0.7599 0.5000 0.6519  7 Pa 3.09-3.38, 2 Ti 3.18
Pa: 0.9704 0.5000 0.3222  6 Pa 3.09-3.16, 3 Ti 3.10-3.38
Ti: 0.2230 0.5000 0.3181  9 Pa 3.07-3.38, 2 Ti 3.09
Ti: 0.7230 0.0000 0.3181  9 Pa 3.07-3.38, 2 Ti 3.09

Calculated values
Relative energy among the computed polymorphs = 0.048 eV/atom
Formation energy = 0.105 eV/atom
Space-group type = Cm, No. 8

Record 8
Compound: LiRuS2N
Source: the Alexandria database
Functional: PBE-GGA
Structure: relaxed

a = 4.8635 Å, b = 4.8635 Å, c = 3.6636 Å
α = 90.00°, β = 90.00°, γ = 90.00°
With the nearest neighbours (Å) after each atom.
Element x y z (fractional)
Li: 0.0000 0.0000 0.0000  8 S 3.04
Ru: 0.5000 0.5000 0.5000  2 N 1.83
S: 0.0000 0.5000 0.5000  2 Ru 2.43
S: 0.5000 0.0000 0.5000  2 Ru 2.43
N: 0.5000 0.5000 0.0000  2 Ru 1.83

Calculated values
Relative energy among the computed polymorphs = 0.000 eV/atom
Uncorrected formation energy = 15 kJ per mole of atoms
Space-group type = P4/mmm, No. 123

Record 9
Compound: Cs2CaS
Source: the Alexandria database
Functional: PBE-GGA
Structure: relaxed

a = 13.8190 Å, b = 13.8190 Å, c = 5.3495 Å
α = 90.00°, β = 90.00°, γ = 90.00°
With the nearest neighbours (Å) after each atom.
Element x y z (fractional)
Cs: 0.0783 0.2500 0.1250  2 S 3.68
Cs: 0.2500 0.5783 0.3750  2 S 3.68
Cs: 0.2500 0.9217 0.8750  2 S 3.68
Cs: 0.4217 0.2500 0.6250  2 S 3.68
Cs: 0.5783 0.7500 0.6250  2 S 3.68
Cs: 0.7500 0.0783 0.8750  2 S 3.68
Cs: 0.7500 0.4217 0.3750  2 S 3.68
Cs: 0.9217 0.7500 0.1250  2 S 3.68
Ca: 0.0000 0.0000 0.5000  2 S 2.67
Ca: 0.0000 0.5000 0.7500  2 S 2.67
Ca: 0.5000 0.0000 0.2500  2 S 2.67
Ca: 0.5000 0.5000 0.0000  2 S 2.67
S: 0.0000 0.0000 0.0000  2 Ca 2.67
S: 0.0000 0.5000 0.2500  2 Ca 2.67
S: 0.5000 0.0000 0.7500  2 Ca 2.67
S: 0.5000 0.5000 0.5000  2 Ca 2.67

Calculated values
Relative energy among the computed polymorphs = 0.000 eV/atom
Uncorrected formation energy = -65 kJ per mole of atoms
Space-group type = I-42d, No. 122

Record 10
Compound: Zr6Tl2Zn
Source: the Alexandria database
Functional: PBE-GGA
Structure: relaxed

a = 8.2427 Å, b = 8.2427 Å, c = 8.2427 Å
α = 146.76°, β = 131.79°, γ = 59.82°
With the nearest neighbours (Å) after each atom.
Element x y z (fractional)
Zr: 0.0810 0.3415 0.7395  1 Zn 2.78, 3 Tl 2.94-2.96
Zr: 0.2350 0.0000 0.2350  2 Zn 2.84, 2 Tl 2.99, 1 Zr 3.16
Zr: 0.3980 0.6585 0.7395  1 Zn 2.78, 3 Tl 2.94-2.96
Zr: 0.6020 0.3415 0.2605  1 Zn 2.78, 3 Tl 2.94-2.96
Zr: 0.7650 0.0000 0.7650  2 Zn 2.84, 2 Tl 2.99, 1 Zr 3.16
Zr: 0.9190 0.6585 0.2605  1 Zn 2.78, 3 Tl 2.94-2.96
Tl: 0.3323 0.8323 0.5000  8 Zr 2.94-2.99
Tl: 0.6677 0.1677 0.5000  8 Zr 2.94-2.99
Zn: 0.0000 0.5000 0.5000  8 Zr 2.78-2.84

Calculated values
Formation energy = 0.319 eV/atom
Space-group type = Immm, No. 71

Record 11
Compound: ErZnPd4
Source: the Alexandria database
Functional: PBE-GGA
Structure: relaxed

a = 8.8167 Å, b = 3.1147 Å, c = 8.6248 Å
α = 90.00°, β = 115.62°, γ = 90.00°
With the nearest neighbours (Å) after each atom.
Element x y z (fractional)
Er: 0.0000 0.0000 0.0000  8 Pd 2.77-2.80
Er: 0.5000 0.5000 0.0000  8 Pd 2.77-2.80
Zn: 0.0000 0.5000 0.5000  8 Pd 2.62-2.83
Zn: 0.5000 0.0000 0.5000  8 Pd 2.62-2.83
Pd: 0.1447 0.0000 0.3601  3 Zn 2.62-2.83, 4 Pd 2.80-2.88, 1 Er 2.80
Pd: 0.1517 0.5000 0.8372  1 Zn 2.62, 3 Er 2.77-2.79, 2 Pd 2.88
Pd: 0.3483 0.0000 0.1628  1 Zn 2.62, 3 Er 2.77-2.79, 2 Pd 2.88
Pd: 0.3553 0.5000 0.6399  3 Zn 2.62-2.83, 4 Pd 2.80-2.88, 1 Er 2.80
Pd: 0.6447 0.5000 0.3601  3 Zn 2.62-2.83, 4 Pd 2.80-2.88, 1 Er 2.80
Pd: 0.6517 0.0000 0.8372  1 Zn 2.62, 3 Er 2.77-2.79, 2 Pd 2.88
Pd: 0.8483 0.5000 0.1628  1 Zn 2.62, 3 Er 2.77-2.79, 2 Pd 2.88
Pd: 0.8553 0.0000 0.6399  3 Zn 2.62-2.83, 4 Pd 2.80-2.88, 1 Er 2.80

Calculated values
Formation energy = -0.442 eV/atom
Space-group type = C2/m, No. 12

Record 12
Compound: Hf7Ti2Pb3
Source: the Alexandria database
Functional: PBE-GGA
Structure: relaxed

a = 5.5528 Å, b = 3.1594 Å, c = 15.3555 Å
α = 90.00°, β = 98.05°, γ = 90.00°
With the nearest neighbours (Å) after each atom.
Element x y z (fractional)
Hf: 0.0000 0.0000 0.0000  8 Hf 3.16-3.24, 4 Pb 3.19
Hf: 0.2146 0.5000 0.1721  1 Ti 3.03, 3 Pb 3.15-3.27, 8 Hf 3.16-3.22
Hf: 0.2474 0.5000 0.4996  2 Hf 2.75-2.80, 2 Ti 2.98-3.01
Hf: 0.2919 0.0000 0.8311  2 Ti 2.98, 3 Pb 3.12-3.20, 7 Hf 3.16-3.24
Hf: 0.7081 0.0000 0.1689  2 Ti 2.98, 3 Pb 3.12-3.20, 7 Hf 3.16-3.24
Hf: 0.7526 0.5000 0.5004  2 Hf 2.75-2.80, 2 Ti 2.98-3.01
Hf: 0.7854 0.5000 0.8279  1 Ti 3.03, 3 Pb 3.15-3.27, 8 Hf 3.16-3.22
Ti: 0.0768 0.5000 0.6752  5 Hf 2.98-3.03, 4 Pb 3.14-3.27, 2 Ti 3.16
Ti: 0.9232 0.5000 0.3248  5 Hf 2.98-3.03, 4 Pb 3.14-3.27, 2 Ti 3.16
Pb: 0.4438 0.0000 0.3412  4 Ti 3.14-3.27, 7 Hf 3.15-3.22, 2 Pb 3.16
Pb: 0.5000 0.5000 0.0000  10 Hf 3.12-3.27, 2 Pb 3.16
Pb: 0.5562 0.0000 0.6588  4 Ti 3.14-3.27, 7 Hf 3.15-3.22, 2 Pb 3.16

Calculated values
Formation energy = 0.147 eV/atom
Space-group type = P2/m, No. 10